1.
BaNi2Pd2: single point on PBEsol structure, meta-GGA SCAN.

```
BaNi2Pd2
1.0
4.215 0.000 0.000
0.000 4.215 0.000
0.000 0.000 10.157
Ba Ni Pd
2 4 4
Cartesian
0.000 0.000 0.000 Ba
2.107 2.107 5.079 Ba
0.000 0.000 3.931 Ni
0.000 0.000 6.226 Ni
2.107 2.107 1.147 Ni
2.107 2.107 9.010 Ni
0.000 2.107 2.539 Pd
0.000 2.107 7.618 Pd
2.107 0.000 2.539 Pd
2.107 0.000 7.618 Pd
```

DFT formation energy	0.00	eV/atom
ρ	8.61	Mg/m³

---

2.
KAg2Se: single point on PBEsol structure, meta-GGA SCAN.

```
KAg2Se
1.0
4.313 0.000 0.000
0.000 4.313 0.000
0.000 0.000 9.289
K Ag Se
2 4 2
Cartesian
0.000 0.000 0.000 K
2.156 2.156 4.645 K
0.000 2.156 2.322 Ag
0.000 2.156 6.967 Ag
2.156 0.000 2.322 Ag
2.156 0.000 6.967 Ag
0.000 0.000 4.645 Se
2.156 2.156 0.000 Se
```

ρ	6.42	Mg/m³
formation energy without anion corrections	-79.5	meV/atom

---

3.
AsRuW2: single point on PBEsol structure, meta-GGA SCAN.

```
AsRuW2
1.0
2.962 0.000 0.000
0.000 4.425 0.000
0.000 0.000 8.945
As Ru W
2 2 4
Cartesian
0.000 0.000 0.000 As
1.481 2.212 4.473 As
0.000 2.212 6.427 Ru
1.481 0.000 1.954 Ru
0.000 0.000 4.311 W
0.000 2.212 2.425 W
1.481 0.000 6.897 W
1.481 2.212 8.783 W
```

DFT formation energy	0.19	eV/atom
ρ	15.40	Mg/m³

---

4.
BaAl2Te: single point on PBEsol structure, meta-GGA SCAN.

```
BaAl2Te
1.0
3.890 0.000 0.000
0.000 3.890 0.000
0.000 0.000 7.134
Ba Al Te
1 2 1
Cartesian
0.000 0.000 0.000 Ba
0.000 0.000 3.811 Al
1.945 1.945 4.929 Al
1.945 1.945 2.198 Te
```

ρ	4.91	Mg/m³
formation energy without anion corrections	-319.9	meV/atom